VASP calculation (PBE+U) on Mg2VSiO6 after structural relaxation.

POSCAR file:
```
Mg2VSiO6
1.0
4.579 0.000 0.000
0.000 4.994 0.000
0.000 0.000 4.994
O V Si Mg
6 1 1 2
Cartesian
3.325 3.796 1.198 O
3.325 1.198 3.796 O
3.325 1.198 1.198 O
0.943 2.497 2.497 O
3.325 3.796 3.796 O
1.126 0.000 0.000 O
2.640 2.497 2.497 V
2.757 0.000 0.000 Si
4.376 0.000 2.497 Mg
4.376 2.497 0.000 Mg
```

Results
VASP energy: -6.87 eV/atom